Entry 1:
{
  "formula": "TbYGa2Pt4",
  "functional": "PBE",
  "state": "relaxed",
  "lattice_angstrom": [[4.3903, 0.0000, 0.0000], [-2.1952, 3.8021, 0.0000], [0.0000, 0.0000, 9.1307]],
  "species": ["Tb", "Y", "Ga", "Ga", "Pt", "Pt", "Pt", "Pt"],
  "frac_coords": [[0.0000, 0.0000, 0.0000], [0.6667, 0.3333, 0.5000], [0.3333, 0.6667, 0.2501], [0.3333, 0.6667, 0.7499], [0.0000, 0.0000, 0.3341], [0.0000, 0.0000, 0.6659], [0.6667, 0.3333, 0.1657], [0.6667, 0.3333, 0.8343]],
  "spacegroup": "P-6m2 (187)",
  "magnetic_moment_mub_per_atom": 0.00,
  "polymorph_energy_ev_per_fu": 0.00,
  "final_energy_ev_per_cell": -49.8
}

***

Entry 2:
{
  "formula": "RbTmSbSe3",
  "functional": "PBE",
  "state": "relaxed",
  "lattice_angstrom": [[1.9616, -8.6259, 0.0000], [1.9616, 8.6259, 0.0000], [0.0000, 0.0000, 11.7896]],
  "species": ["Rb", "Rb", "Tm", "Tm", "Sb", "Sb", "Se", "Se", "Se", "Se", "Se", "Se"],
  "frac_coords": [[0.1903, 0.8097, 0.7500], [0.8097, 0.1903, 0.2500], [0.5000, 0.5000, 0.0000], [0.5000, 0.5000, 0.5000], [0.1144, 0.8856, 0.2500], [0.8856, 0.1144, 0.7500], [0.1149, 0.8851, 0.0115], [0.1149, 0.8851, 0.4885], [0.4892, 0.5108, 0.2500], [0.5108, 0.4892, 0.7500], [0.8851, 0.1149, 0.5115], [0.8851, 0.1149, 0.9885]],
  "spacegroup": "Cmcm (63)",
  "magnetic_moment_mub_per_atom": 0.00,
  "final_energy_ev_per_cell": -52.0
}

***

Entry 3:
{
  "formula": "NdGdCu2As2P2",
  "functional": "PBE",
  "state": "relaxed",
  "lattice_angstrom": [[3.8786, 0.0000, 0.0000], [0.0000, 3.8786, 0.0000], [0.0000, 0.0000, 10.0109]],
  "species": ["Nd", "Gd", "Cu", "Cu", "As", "As", "P", "P"],
  "frac_coords": [[0.0000, 0.0000, 0.0000], [0.5000, 0.5000, 0.5117], [0.0000, 0.5000, 0.2567], [0.5000, 0.0000, 0.2567], [0.0000, 0.5000, 0.7540], [0.5000, 0.0000, 0.7540], [0.0000, 0.0000, 0.4023], [0.5000, 0.5000, 0.1121]],
  "spacegroup": "P4mm (99)",
  "magnetic_moment_mub_per_atom": 0.00,
  "final_energy_ev_per_cell": -44.1
}

***

Which formula does entry 3 have? NdGdCu2As2P2